*1*
A plane-wave DFT calculation with meta-GGA SCAN was carried out for a crystal of SbPt4 relaxed with PBEsol.

## Properties
M_tot = 0.000 μB per atom
Symmetry = I4/m (87)
Theoretical density = 18.581 Mg/m³

Cell and atoms, written as POSCAR:
```
SbPt4
1.0
4.218 0.000 0.000
2.109 4.372 0.000
2.109 0.000 4.372
Pt Sb
4 1
Cartesian
4.218 0.880 2.567
4.218 3.492 1.805
2.109 1.805 0.880
6.326 2.567 3.492
0.000 0.000 0.000
```

*2*
A plane-wave DFT calculation with meta-GGA SCAN was carried out for a crystal of SbPt4 relaxed with PBEsol.

## Properties
M_tot = 0.000 μB per atom
Symmetry = Im-3m (229)
Theoretical density = 15.228 Mg/m³

Cell and atoms, written as POSCAR:
```
SbPt4
1.0
-4.732 -1.583 -0.686
2.250 -2.883 3.463
-0.042 4.786 1.570
Sb Pt
1 4
Cartesian
0.000 0.000 0.000
-1.262 0.160 2.174
-2.366 -0.792 -0.343
-0.021 2.393 0.785
1.125 -1.442 1.732
```

Of them, *1* has the highest stability.

*1*
A plane-wave DFT calculation with meta-GGA SCAN was carried out for a crystal of ScSb2Pt relaxed with PBEsol.

## Properties
M_tot = 0.000 μB per atom
Symmetry = I-4m2 (119)
Theoretical density = 9.990 Mg/m³

Cell and atoms, written as POSCAR:
```
ScSb2Pt
1.0
-2.394 -1.477 2.930
3.039 0.372 2.670
-1.808 5.068 -1.738
Sb Pt Sc
2 1 1
Cartesian
-1.940 1.519 1.996
0.000 0.000 0.000
0.777 2.444 1.866
0.322 -0.553 2.800
```

*2*
A plane-wave DFT calculation with meta-GGA SCAN was carried out for a crystal of ScSb2Pt relaxed with PBEsol.

## Properties
M_tot = 0.000 μB per atom
Symmetry = Fm-3m (225)
Theoretical density = 9.826 Mg/m³

Cell and atoms, written as POSCAR:
```
ScSb2Pt
1.0
-0.991 4.749 0.436
-3.076 1.539 3.449
1.685 2.498 3.827
Sb Pt Sc
2 1 1
Cartesian
-0.596 2.197 1.928
-1.787 6.590 5.784
0.000 0.000 0.000
-1.191 4.393 3.856
```

Of them, *1* has the highest stability.

*1*
A plane-wave DFT calculation with meta-GGA SCAN was carried out for a crystal of Tl2SbPt relaxed with PBEsol.

## Properties
M_tot = 0.000 μB per atom
Symmetry = F-43m (216)
Theoretical density = 13.301 Mg/m³

Cell and atoms, written as POSCAR:
```
Tl2SbPt
1.0
-2.319 1.224 -4.305
-4.023 -2.624 -1.530
-4.577 2.109 0.114
Sb Pt Tl
1 1 2
Cartesian
-2.730 0.177 -1.430
-5.460 0.354 -2.861
0.000 0.000 0.000
-8.190 0.532 -4.291
```

*2*
A plane-wave DFT calculation with meta-GGA SCAN was carried out for a crystal of Tl2SbPt relaxed with PBEsol.

## Properties
M_tot = 0.000 μB per atom
Symmetry = Pmmm (47)
Theoretical density = 13.070 Mg/m³

Cell and atoms, written as POSCAR:
```
Tl2SbPt
1.0
-2.971 -1.110 2.400
2.844 -0.262 3.400
-0.930 5.003 1.163
Pt Tl Sb
1 2 1
Cartesian
-1.950 1.947 1.781
-0.064 -0.686 2.900
0.000 0.000 0.000
0.957 2.371 2.281
```

*3*
A plane-wave DFT calculation with meta-GGA SCAN was carried out for a crystal of Tl2SbPt relaxed with PBEsol.

## Properties
M_tot = 0.000 μB per atom
Symmetry = R3m (160)
Theoretical density = 11.630 Mg/m³

Cell and atoms, written as POSCAR:
```
Tl2SbPt
1.0
4.147 0.000 0.000
2.074 3.591 0.000
2.074 1.197 6.956
Tl Sb Pt
2 1 1
Cartesian
6.221 3.591 0.035
6.221 3.591 4.838
2.074 1.197 2.244
4.147 2.394 3.316
```

*4*
A plane-wave DFT calculation with meta-GGA SCAN was carried out for a crystal of Tl2SbPt relaxed with PBEsol.

## Properties
M_tot = 0.000 μB per atom
Symmetry = Pm (6)
Theoretical density = 12.269 Mg/m³

Cell and atoms, written as POSCAR:
```
Tl2SbPt
1.0
3.264 0.000 -0.012
0.000 3.788 0.000
-1.564 0.000 7.948
Pt Sb Tl
1 1 2
Cartesian
0.241 0.000 3.830
0.248 1.894 5.607
0.196 0.000 0.088
1.865 1.894 2.379
```

Of them, *3* has the highest stability.

*1*
A plane-wave DFT calculation with meta-GGA SCAN was carried out for a crystal of SbPtW relaxed with PBEsol.

## Properties
M_tot = 0.000 μB per atom
Symmetry = F-43m (216)
Theoretical density = 14.143 Mg/m³

Cell and atoms, written as POSCAR:
```
SbPtW
1.0
-0.129 1.031 4.239
-0.034 -3.157 3.014
3.508 -0.655 2.513
Pt Sb W
1 1 1
Cartesian
1.672 -1.390 4.883
0.836 -0.695 2.441
0.000 0.000 0.000
```

*2*
A plane-wave DFT calculation with meta-GGA SCAN was carried out for a crystal of SbPtW relaxed with PBEsol.

## Properties
M_tot = 0.000 μB per atom
Symmetry = Imm2 (44)
Theoretical density = 15.746 Mg/m³

Cell and atoms, written as POSCAR:
```
SbPtW
1.0
2.881 0.000 0.000
0.000 4.012 0.000
-1.440 -2.006 4.568
Pt W Sb
1 1 1
Cartesian
1.440 2.006 4.401
0.000 0.000 3.227
1.440 2.006 1.509
```

Of them, *2* has the highest stability.